Cs2Nd2PaTe6 (PBE, optimized geometry); SG = C2/m; DFT total energy = -4.865 eV/atom
1.0
-7.077 3.005 -1.748
0.737 -7.719 1.432
0.602 3.118 9.035
Cs Nd Pa Te
2 2 1 6
Cartesian
-5.754 1.188 -1.210
-0.587 -5.902 0.893
-1.562 -2.591 4.891
-4.176 0.995 3.827
0.301 1.559 4.517
-4.284 -1.340 6.007
0.227 -0.646 6.693
-1.455 -0.256 2.711
-2.290 2.808 5.669
-5.965 -0.950 2.025
-3.449 -4.404 3.050